Density functional theory data (GGA-PBE) for a relaxed La7Pm3Pr2 crystal.

SG: P2/m, No. 10
Total moment in μB/cell: 0.00
Formation enthalpy at 0 K in meV/atom: 57

a b c (Å): 3.6332 6.6234 18.6567
angles (deg): 74.96 90.00 90.00
Closest atoms and distances in Å follow each position.
Positions (direct):
La 0.5000 0.2296 0.5087  2 La 3.14-3.51, 1 Pr 3.43
La 0.5000 0.7704 0.4913  2 La 3.14-3.51, 1 Pr 3.43
La 0.0000 0.5562 0.1659  7 La 3.63-3.78, 2 Pr 3.67, 3 Pm 3.69-3.72
La 0.0000 0.0000 0.0000  8 La 3.63-3.75, 4 Pm 3.78
La 0.0000 0.4438 0.8341  7 La 3.63-3.78, 2 Pr 3.67, 3 Pm 3.69-3.72
La 0.5000 0.9471 0.8302  8 La 3.63-3.78, 1 Pr 3.64, 3 Pm 3.72-3.73
La 0.5000 0.0529 0.1698  8 La 3.63-3.78, 1 Pr 3.64, 3 Pm 3.72-3.73
Pm 0.5000 0.5000 0.0000  2 Pm 3.63, 10 La 3.69-3.78
Pm 0.0000 0.1152 0.3366  2 Pm 3.63, 7 La 3.66-3.93, 4 Pr 3.70-3.85
Pm 0.0000 0.8848 0.6634  2 Pm 3.63, 7 La 3.66-3.93, 4 Pr 3.70-3.85
Pr 0.5000 0.6059 0.3314  5 La 3.43-3.67, 2 Pr 3.63, 2 Pm 3.70
Pr 0.5000 0.3941 0.6686  5 La 3.43-3.67, 2 Pr 3.63, 2 Pm 3.70

***

Density functional theory data (GGA-PBE) for a relaxed PmTh2Bi4 crystal.

SG: Cmcm, No. 63
Total moment in μB/cell: 0.00
Formation enthalpy at 0 K in meV/atom: -432

a b c (Å): 4.5572 7.9762 14.7561
angles (deg): 90.00 90.00 106.60
Closest atoms and distances in Å follow each position.
Positions (direct):
Pm 0.6118 0.2235 0.7500  6 Bi 3.23-3.37
Pm 0.3882 0.7765 0.2500  6 Bi 3.23-3.37
Th 0.1358 0.2715 0.4376  6 Bi 3.14-3.26
Th 0.8642 0.7285 0.9376  6 Bi 3.14-3.26
Th 0.1358 0.2715 0.0624  6 Bi 3.14-3.26
Th 0.8642 0.7285 0.5624  6 Bi 3.14-3.26
Bi 0.7690 0.5381 0.1353  3 Th 3.24-3.26, 2 Pm 3.37, 1 Bi 3.39
Bi 0.7690 0.5381 0.3647  3 Th 3.24-3.26, 2 Pm 3.37, 1 Bi 3.39
Bi 0.2310 0.4619 0.8647  3 Th 3.24-3.26, 2 Pm 3.37, 1 Bi 3.39
Bi 0.2310 0.4619 0.6353  3 Th 3.24-3.26, 2 Pm 3.37, 1 Bi 3.39
Bi 0.9617 0.9233 0.7500  2 Th 3.14, 2 Pm 3.23
Bi 0.0383 0.0767 0.2500  2 Th 3.14, 2 Pm 3.23
Bi 0.5000 0.0000 0.0000  4 Th 3.22
Bi 0.5000 0.0000 0.5000  4 Th 3.22

***

Density functional theory data (GGA-PBE) for a relaxed Pm2Ag4Hg3 crystal.

SG: Cmce, No. 64
Total moment in μB/cell: 0.00
Formation enthalpy at 0 K in meV/atom: -168

a b c (Å): 6.1140 8.5625 8.6035
angles (deg): 90.00 110.81 90.00
Closest atoms and distances in Å follow each position.
Positions (direct):
Pm 0.1183 0.5751 0.2366  8 Ag 3.23-3.53, 4 Hg 3.30-3.61
Pm 0.8817 0.4249 0.7634  8 Ag 3.23-3.53, 4 Hg 3.30-3.61
Pm 0.3817 0.0751 0.7634  8 Ag 3.23-3.53, 4 Hg 3.30-3.61
Pm 0.6183 0.9249 0.2366  8 Ag 3.23-3.53, 4 Hg 3.30-3.61
Ag 0.7025 0.7500 0.9050  3 Hg 2.74-2.86, 2 Ag 3.06
Ag 0.7975 0.2500 0.0950  3 Hg 2.74-2.86, 2 Ag 3.06
Ag 0.2975 0.2500 0.0950  3 Hg 2.74-2.86, 2 Ag 3.06
Ag 0.2025 0.7500 0.9050  3 Hg 2.74-2.86, 2 Ag 3.06
Ag 0.1771 0.9722 0.3542  5 Hg 2.86-2.93
Ag 0.8229 0.0278 0.6458  5 Hg 2.86-2.93
Ag 0.3229 0.4722 0.6458  5 Hg 2.86-2.93
Ag 0.6771 0.5278 0.3542  5 Hg 2.86-2.93
Hg 0.0000 0.0000 0.0000  6 Ag 2.74-2.86
Hg 0.5000 0.5000 0.0000  6 Ag 2.74-2.86
Hg 0.5247 0.7500 0.5493  5 Ag 2.86-2.93, 2 Hg 3.06
Hg 0.9753 0.2500 0.4507  5 Ag 2.86-2.93, 2 Hg 3.06
Hg 0.4753 0.2500 0.4507  5 Ag 2.86-2.93, 2 Hg 3.06
Hg 0.0247 0.7500 0.5493  5 Ag 2.86-2.93, 2 Hg 3.06

***

Density functional theory data (GGA-PBE) for a relaxed Zr2Ta crystal.

SG: Pnma, No. 62
Total moment in μB/cell: 0.00
Formation enthalpy at 0 K in meV/atom: 140

a b c (Å): 5.9907 4.7059 9.2049
angles (deg): 90.00 90.00 90.00
Closest atoms and distances in Å follow each position.
Positions (direct):
Zr 0.0854 0.2500 0.2147  5 Ta 2.97-3.16, 5 Zr 3.07-3.16
Zr 0.1643 0.2500 0.5530  5 Ta 2.97-3.16, 5 Zr 3.15-3.22
Zr 0.3357 0.7500 0.0530  5 Ta 2.97-3.16, 5 Zr 3.15-3.22
Zr 0.4146 0.7500 0.7147  5 Ta 2.97-3.16, 5 Zr 3.07-3.16
Zr 0.5854 0.2500 0.2853  5 Ta 2.97-3.16, 5 Zr 3.07-3.16
Zr 0.6643 0.2500 0.9470  5 Ta 2.97-3.16, 5 Zr 3.15-3.22
Zr 0.8357 0.7500 0.4470  5 Ta 2.97-3.16, 5 Zr 3.15-3.22
Zr 0.9146 0.7500 0.7853  5 Ta 2.97-3.16, 5 Zr 3.07-3.16
Ta 0.1806 0.2500 0.8773  10 Zr 2.97-3.16
Ta 0.3194 0.7500 0.3773  10 Zr 2.97-3.16
Ta 0.6806 0.2500 0.6227  10 Zr 2.97-3.16
Ta 0.8194 0.7500 0.1227  10 Zr 2.97-3.16

***

Density functional theory data (GGA-PBE) for a relaxed Cr2Ga2Re crystal.

SG: P4/mbm, No. 127
Total moment in μB/cell: 6.18
Formation enthalpy at 0 K in meV/atom: 212

a b c (Å): 6.7481 6.7481 3.0314
angles (deg): 90.00 90.00 90.00
Closest atoms and distances in Å follow each position.
Positions (direct):
Re 0.0000 0.0000 0.0000  4 Ga 2.64, 8 Cr 2.93
Re 0.5000 0.5000 0.0000  4 Ga 2.64, 8 Cr 2.93
Ga 0.3678 0.8678 0.0000  6 Cr 2.43-2.54, 1 Ga 2.52, 2 Re 2.64
Ga 0.8678 0.6322 0.0000  6 Cr 2.43-2.54, 1 Ga 2.52, 2 Re 2.64
Ga 0.6322 0.1322 0.0000  6 Cr 2.43-2.54, 1 Ga 2.52, 2 Re 2.64
Ga 0.1322 0.3678 0.0000  6 Cr 2.43-2.54, 1 Ga 2.52, 2 Re 2.64
Cr 0.1684 0.6684 0.5000  6 Ga 2.43-2.54
Cr 0.6684 0.8316 0.5000  6 Ga 2.43-2.54
Cr 0.8316 0.3316 0.5000  6 Ga 2.43-2.54
Cr 0.3316 0.1684 0.5000  6 Ga 2.43-2.54

***

Density functional theory data (GGA-PBE) for a relaxed Ce2AlRu2 crystal.

SG: Cmc2_1, No. 36
Total moment in μB/cell: 0.61
Formation enthalpy at 0 K in meV/atom: -472

a b c (Å): 3.7287 6.7169 8.6279
angles (deg): 90.00 90.00 106.11
Closest atoms and distances in Å follow each position.
Positions (direct):
Ce 0.8942 0.7885 0.1459  1 Ru 2.34
Ce 0.3857 0.7714 0.7816  2 Ru 2.68
Ce 0.1058 0.2115 0.6459  1 Ru 2.34
Ce 0.6143 0.2286 0.2816  2 Ru 2.68
Al 0.6838 0.3676 0.9287  5 Ru 2.62-2.75
Al 0.3162 0.6324 0.4287  5 Ru 2.62-2.75
Ru 0.2343 0.4686 0.1503  3 Al 2.62-2.75, 4 Ce 2.68-2.78
Ru 0.0369 0.0739 0.9787  1 Ce 2.34
Ru 0.7657 0.5314 0.6503  3 Al 2.62-2.75, 4 Ce 2.68-2.78
Ru 0.9631 0.9261 0.4787  1 Ce 2.34

***

| no. | VASP energy (Ry per atom) |
| --- | --- |
| 1 | -0.353 |
| 2 | -0.400 |
| 3 | -0.190 |
| 4 | -0.699 |
| 5 | -0.539 |
| 6 | -0.537 |